Record 1
An optimized crystal structure of Li4Tb3SmSe8, computed with PBE.

a b c (Å): 8.2109 8.0545 8.2089
angles (deg): 120.68 120.01 90.00
With the nearest neighbours (Å) after each atom.
Positions (direct):
Li 0.5000 0.0000 0.0000  6 Se 2.83-2.84
Li 0.5000 0.0000 0.5000  6 Se 2.86-2.87
Li 0.0000 0.0000 0.0000  6 Se 2.86-2.87
Li 0.0000 0.0000 0.5000  6 Se 2.86-2.87
Tb 0.5000 0.5000 0.0000  6 Se 2.88-2.89
Tb 0.5000 0.5000 0.5000  6 Se 2.88-2.89
Tb 0.0000 0.5000 0.5000  6 Se 2.88-2.89
Sm 0.0000 0.5000 0.0000  6 Se 2.92
Se 0.2537 0.7553 0.0020  3 Li 2.84-2.87, 2 Tb 2.88, 1 Sm 2.92
Se 0.2537 0.7553 0.5075  3 Li 2.83-2.87, 2 Tb 2.88, 1 Sm 2.92
Se 0.2487 0.2465 0.4974  3 Li 2.86, 3 Tb 2.89
Se 0.7482 0.7553 0.0020  3 Li 2.84-2.87, 2 Tb 2.88, 1 Sm 2.92
Se 0.2518 0.2447 0.9980  3 Li 2.84-2.87, 2 Tb 2.88, 1 Sm 2.92
Se 0.7513 0.7535 0.5026  3 Li 2.86, 3 Tb 2.89
Se 0.7463 0.2447 0.4925  3 Li 2.83-2.87, 2 Tb 2.88, 1 Sm 2.92
Se 0.7463 0.2447 0.9980  3 Li 2.84-2.87, 2 Tb 2.88, 1 Sm 2.92

Output
* space group: R-3m (166)
* energy relative to the elements, uncorrected: -1.691 eV per atom
* DFT total energy: -81.20 eV/cell

Record 2
An optimized crystal structure of FeCuNi6, computed with PBE.

a b c (Å): 6.1253 6.1253 10.0214
angles (deg): 90.00 90.00 109.52
With the nearest neighbours (Å) after each atom.
Positions (direct):
Cu 0.2495 0.7505 0.2500  12 Ni 2.50-2.52
Cu 0.7505 0.2495 0.2500  12 Ni 2.50-2.52
Cu 0.0000 0.0000 0.4992  12 Ni 2.50-2.52
Cu 0.0000 0.0000 0.0007  12 Ni 2.50-2.52
Fe 0.2514 0.7486 0.7500  12 Ni 2.48-2.52
Fe 0.7486 0.2514 0.7500  12 Ni 2.48-2.52
Fe 0.5000 0.5000 0.4985  12 Ni 2.48-2.52
Fe 0.5000 0.5000 0.0015  12 Ni 2.48-2.52
Ni 0.2511 0.7489 0.5017  8 Ni 2.48-2.52, 2 Fe 2.49, 2 Cu 2.51-2.52
Ni 0.8743 0.6235 0.6259  3 Fe 2.48-2.51, 8 Ni 2.48-2.51, 1 Cu 2.52
Ni 0.1257 0.3765 0.6259  3 Fe 2.48-2.51, 8 Ni 2.48-2.51, 1 Cu 2.52
Ni 0.7489 0.2511 0.5017  8 Ni 2.48-2.52, 2 Fe 2.49, 2 Cu 2.51-2.52
Ni 0.3765 0.1257 0.6259  3 Fe 2.48-2.51, 8 Ni 2.48-2.51, 1 Cu 2.52
Ni 0.6235 0.8743 0.6259  3 Fe 2.48-2.51, 8 Ni 2.48-2.51, 1 Cu 2.52
Ni 0.5000 0.5000 0.2500  2 Fe 2.49, 8 Ni 2.50, 2 Cu 2.51
Ni 0.1262 0.3761 0.3757  1 Fe 2.48, 8 Ni 2.50-2.52, 3 Cu 2.50-2.51
Ni 0.3761 0.1262 0.3757  1 Fe 2.48, 8 Ni 2.50-2.52, 3 Cu 2.50-2.51
Ni 0.2511 0.7489 0.9983  8 Ni 2.48-2.52, 2 Fe 2.49, 2 Cu 2.51-2.52
Ni 0.8738 0.6240 0.1243  1 Fe 2.48, 8 Ni 2.50-2.52, 3 Cu 2.50-2.51
Ni 0.1262 0.3760 0.1243  1 Fe 2.48, 8 Ni 2.50-2.52, 3 Cu 2.50-2.51
Ni 0.7489 0.2511 0.9983  8 Ni 2.48-2.52, 2 Fe 2.49, 2 Cu 2.51-2.52
Ni 0.3760 0.1262 0.1243  1 Fe 2.48, 8 Ni 2.50-2.52, 3 Cu 2.50-2.51
Ni 0.6240 0.8738 0.1243  1 Fe 2.48, 8 Ni 2.50-2.52, 3 Cu 2.50-2.51
Ni 0.5000 0.5000 0.7500  4 Fe 2.49-2.52, 8 Ni 2.49
Ni 0.1257 0.3765 0.8741  3 Fe 2.48-2.51, 8 Ni 2.48-2.51, 1 Cu 2.52
Ni 0.3765 0.1257 0.8741  3 Fe 2.48-2.51, 8 Ni 2.48-2.51, 1 Cu 2.52
Ni 0.0000 0.0000 0.2499  4 Cu 2.50, 8 Ni 2.51
Ni 0.6239 0.8738 0.3757  1 Fe 2.48, 8 Ni 2.50-2.52, 3 Cu 2.50-2.51
Ni 0.8738 0.6239 0.3757  1 Fe 2.48, 8 Ni 2.50-2.52, 3 Cu 2.50-2.51
Ni 0.0000 0.0000 0.7500  8 Ni 2.50, 2 Cu 2.51, 2 Fe 2.52
Ni 0.6235 0.8743 0.8741  3 Fe 2.48-2.51, 8 Ni 2.48-2.51, 1 Cu 2.52
Ni 0.8743 0.6235 0.8741  3 Fe 2.48-2.51, 8 Ni 2.48-2.51, 1 Cu 2.52

Output
* polymorph energy (0 for the lowest one): 2 meV per atom
* space group: Cmmm (65)
* energy of formation: -0.032 eV per atom
* DFT total energy: -190.02 eV/cell

Record 3
An optimized crystal structure of LiMg2AlO4, computed with PBE.

a b c (Å): 4.5863 4.5863 5.4255
angles (deg): 115.01 115.01 90.00
With the nearest neighbours (Å) after each atom.
Positions (direct):
Li 0.0000 0.0000 0.0000  4 O 2.07
Mg 0.7500 0.2500 0.5001  4 O 1.99
Mg 0.2500 0.7500 0.5001  4 O 1.99
Al 0.5000 0.5000 0.0001  4 O 1.79
O 0.6054 0.6054 0.7611  1 Al 1.79, 2 Mg 1.99
O 0.3947 0.8444 0.2391  1 Al 1.79, 2 Mg 1.99
O 0.8444 0.3947 0.2391  1 Al 1.79, 2 Mg 1.99
O 0.1557 0.1557 0.7610  1 Al 1.79, 2 Mg 1.99

Output
* space group: I-42m (121)
* energy relative to the elements, uncorrected: -2.659 eV per atom
* DFT total energy: -49.95 eV/cell

Record 4
An optimized crystal structure of Zr2GaAg, computed with PBE.

a b c (Å): 3.0907 3.0907 8.1356
angles (deg): 90.00 90.00 90.00
With the nearest neighbours (Å) after each atom.
Positions (direct):
Ga 0.5000 0.5000 0.0000  8 Zr 2.93, 4 Ga 3.09
Zr 0.0000 0.0000 0.7603  4 Ga 2.93, 4 Ag 3.04, 4 Zr 3.09
Zr 0.0000 0.0000 0.2397  4 Ga 2.93, 4 Ag 3.04, 4 Zr 3.09
Ag 0.5000 0.5000 0.5000  8 Zr 3.04, 4 Ag 3.09

Output
* space group: P4/mmm (123)
* energy of formation: -0.307 eV per atom
* DFT total energy: -24.20 eV/cell

Record 5
An optimized crystal structure of K3PmDy2Te6, computed with PBE.

a b c (Å): 7.8408 7.8408 8.6524
angles (deg): 98.69 98.69 120.00
With the nearest neighbours (Å) after each atom.
Positions (direct):
K 0.1650 0.8350 0.5000  6 Te 3.52-3.56
K 0.8350 0.1650 0.5000  6 Te 3.52-3.56
K 0.5000 0.5000 0.5000  6 Te 3.51-3.56
Pm 0.0000 0.0000 0.0000  6 Te 3.17
Dy 0.3331 0.6669 0.0000  6 Te 3.12
Dy 0.6669 0.3331 0.0000  6 Te 3.12
Te 0.9299 0.5908 0.7899  2 Dy 3.12, 1 Pm 3.17
Te 0.7307 0.7307 0.2098  2 Dy 3.12, 1 Pm 3.17
Te 0.0701 0.4092 0.2101  2 Dy 3.12, 1 Pm 3.17
Te 0.5908 0.9299 0.7899  2 Dy 3.12, 1 Pm 3.17
Te 0.2693 0.2693 0.7902  2 Dy 3.12, 1 Pm 3.17
Te 0.4092 0.0701 0.2101  2 Dy 3.12, 1 Pm 3.17

Output
* space group: C2/m (12)
* energy relative to the elements, uncorrected: -1.403 eV per atom
* DFT total energy: -52.93 eV/cell

Record 6
An optimized crystal structure of Cs2TmCu3F12, computed with PBE.

a b c (Å): 7.5687 7.5687 7.5687
angles (deg): 59.10 59.10 59.10
With the nearest neighbours (Å) after each atom.
Positions (direct):
Cs 0.6129 0.6129 0.6129  9 F 3.25-3.52
Cs 0.3871 0.3871 0.3871  9 F 3.25-3.52
Tm 0.0000 0.0000 0.0000  6 F 2.15
Cu 0.5000 0.0000 0.0000  6 F 1.97-2.02
Cu 0.0000 0.5000 0.0000  6 F 1.97-2.02
Cu 0.0000 0.0000 0.5000  6 F 1.97-2.02
F 0.3068 0.3068 0.9210  2 Cu 1.97
F 0.9178 0.9178 0.3439  1 Cu 2.02, 1 Tm 2.15
F 0.3439 0.9178 0.9178  1 Cu 2.02, 1 Tm 2.15
F 0.9210 0.3068 0.3068  2 Cu 1.97
F 0.9178 0.3439 0.9178  1 Cu 2.02, 1 Tm 2.15
F 0.3068 0.9210 0.3068  2 Cu 1.97
F 0.6932 0.6932 0.0790  2 Cu 1.97
F 0.0822 0.0822 0.6561  1 Cu 2.02, 1 Tm 2.15
F 0.6561 0.0822 0.0822  1 Cu 2.02, 1 Tm 2.15
F 0.0790 0.6932 0.6932  2 Cu 1.97
F 0.0822 0.6561 0.0822  1 Cu 2.02, 1 Tm 2.15
F 0.6932 0.0790 0.6932  2 Cu 1.97

Output
* space group: R-3m (166)
* energy relative to the elements, uncorrected: -2.424 eV per atom
* DFT total energy: -84.55 eV/cell

Record 7
An optimized crystal structure of AlTePCl2, computed with PBE.

a b c (Å): 5.5815 5.5815 4.9662
angles (deg): 90.00 90.00 90.00
With the nearest neighbours (Å) after each atom.
Positions (direct):
P 0.0000 0.0000 0.5000  2 Te 2.48
Te 0.0000 0.0000 0.0000  2 P 2.48
Al 0.5000 0.5000 0.5000  8 Cl 3.74, 4 P 3.95
Cl 0.0000 0.5000 0.0000  2 Te 2.79
Cl 0.5000 0.0000 0.0000  2 Te 2.79

Output
* polymorph energy (0 for the lowest one): 521 meV per atom
* space group: P4/mmm (123)
* energy relative to the elements, uncorrected: 0.316 eV per atom
* DFT total energy: -14.41 eV/cell

Record 8
An optimized crystal structure of LaMnBr, computed with PBE.

a b c (Å): 4.9551 4.9551 4.9551
angles (deg): 60.00 60.00 60.00
With the nearest neighbours (Å) after each atom.
Positions (direct):
Br 0.2500 0.2500 0.2500  4 Mn 3.03, 4 La 3.03
La 0.0000 0.0000 0.0000  4 Br 3.03
Mn 0.5000 0.5000 0.5000  4 Br 3.03

Output
* space group: F-43m (216)
* energy relative to the elements, uncorrected: 0.016 eV per atom
* DFT total energy: -15.72 eV/cell

Record 9
An optimized crystal structure of GeTe2Pd, computed with PBE.

a b c (Å): 6.2140 6.2140 7.6223
angles (deg): 65.94 65.94 90.00
With the nearest neighbours (Å) after each atom.
Positions (direct):
Ge 0.5000 0.5000 0.0000  4 Te 2.75
Ge 0.2500 0.7500 0.5000  4 Te 2.75
Te 0.6407 0.1250 0.2500  2 Pd 2.64, 2 Ge 2.75
Te 0.1093 0.6250 0.2500  2 Pd 2.64, 2 Ge 2.75
Te 0.3750 0.3593 0.7500  2 Pd 2.64, 2 Ge 2.75
Te 0.8750 0.8907 0.7500  2 Pd 2.64, 2 Ge 2.75
Pd 0.0000 0.0000 0.0000  4 Te 2.64
Pd 0.7500 0.2500 0.5000  4 Te 2.64

Output
* space group: I-42d (122)
* energy relative to the elements, uncorrected: -0.068 eV per atom
* DFT total energy: -32.73 eV/cell

Record 10
An optimized crystal structure of BeSiTe, computed with PBE.

a b c (Å): 3.9256 12.1148 6.0023
angles (deg): 90.00 90.00 90.00
With the nearest neighbours (Å) after each atom.
Positions (direct):
Be 0.2500 0.8074 0.7401  1 Si 2.23, 3 Te 2.46-2.48
Be 0.7500 0.1926 0.7401  1 Si 2.23, 3 Te 2.46-2.48
Be 0.2500 0.3074 0.2401  1 Si 2.23, 3 Te 2.46-2.48
Be 0.7500 0.6926 0.2401  1 Si 2.23, 3 Te 2.46-2.48
Si 0.2500 0.4459 0.4861  1 Be 2.23, 2 Si 2.36
Si 0.7500 0.5541 0.4861  1 Be 2.23, 2 Si 2.36
Si 0.2500 0.9459 0.9861  1 Be 2.23, 2 Si 2.36
Si 0.7500 0.0541 0.9861  1 Be 2.23, 2 Si 2.36
Te 0.2500 0.8076 0.3267  3 Be 2.46-2.48, 1 Si 2.64
Te 0.7500 0.1924 0.3267  3 Be 2.46-2.48, 1 Si 2.64
Te 0.2500 0.3076 0.8267  3 Be 2.46-2.48, 1 Si 2.64
Te 0.7500 0.6924 0.8267  3 Be 2.46-2.48, 1 Si 2.64

Output
* polymorph energy (0 for the lowest one): 39 meV per atom
* space group: Ama2 (40)
* energy relative to the elements, uncorrected: -0.010 eV per atom
* DFT total energy: -49.28 eV/cell